1.
AcInCu2: relaxed, GGA-PBE.

Lattice parameters (Å, degrees): 4.4977 5.8239 7.0665 90.00 90.00 90.00
With the nearest neighbours (Å) after each atom.
Element x y z (fractional)
Cu 0.5000 0.3823 0.7896  3 Cu 2.69-2.97, 3 In 2.73
Cu 0.0000 0.6177 0.2896  3 Cu 2.69-2.97, 3 In 2.73
Cu 0.5000 0.3823 0.2104  3 Cu 2.69-2.97, 3 In 2.73
Cu 0.0000 0.6177 0.7104  3 Cu 2.69-2.97, 3 In 2.73
Ac 0.0000 0.1433 0.5000  8 Cu 3.14-3.40, 2 In 3.46
Ac 0.5000 0.8567 0.0000  8 Cu 3.14-3.40, 2 In 3.46
In 0.0000 0.3078 0.0000  6 Cu 2.73
In 0.5000 0.6922 0.5000  6 Cu 2.73

N(E_F): 4.700 states/eV per cell
Formation enthalpy at 0 K: -0.243 eV per atom
Mass density: 8.41 Mg/m³



2.
CuTc3C: relaxed, GGA-PBE.

Lattice parameters (Å, degrees): 4.4447 4.4447 4.4447 90.00 90.00 90.00
With the nearest neighbours (Å) after each atom.
Element x y z (fractional)
Tc 0.0000 0.5000 0.0000  2 Cu 2.22
Tc 0.0000 0.0000 0.5000  2 Cu 2.22
Tc 0.5000 0.0000 0.0000  2 Cu 2.22
Cu 0.0000 0.0000 0.0000  6 Tc 2.22
C 0.5000 0.5000 0.5000  12 Tc 3.14

N(E_F): 6.015 states/eV per cell
Formation enthalpy at 0 K: 2.969 eV per atom
ΔE to the lowest computed polymorph: 2654 meV per atom
Mass density: 6.99 Mg/m³



3.
Ca2SeCl: relaxed, GGA-PBE.

Lattice parameters (Å, degrees): 6.9347 5.8104 4.2643 67.02 92.24 127.67
With the nearest neighbours (Å) after each atom.
Element x y z (fractional)
Ca 0.5000 0.0000 0.5000  2 Se 2.85, 2 Cl 2.85
Ca 0.0000 0.0000 0.0000  2 Cl 2.85, 2 Se 2.85
Cl 0.0000 0.5000 0.5000  4 Ca 2.85
Se 0.5000 0.5000 0.0000  4 Ca 2.85

N(E_F): 2.531 states/eV per cell
ΔE to the lowest computed polymorph: 222 meV per atom
Mass density: 2.68 Mg/m³
Formation energy (no corrections): -148.3 kJ/mol of atoms



4.
Tb3Pr6Sm: relaxed, GGA-PBE.

Lattice parameters (Å, degrees): 6.5297 11.8919 11.8919 130.70 90.00 90.00
With the nearest neighbours (Å) after each atom.
Element x y z (fractional)
Tb 0.4896 0.2938 0.0408  2 Tb 3.32-3.51, 5 Pr 3.35-3.68, 1 Sm 3.57
Tb 0.0919 0.4199 0.5801  3 Pr 3.21-3.52, 2 Tb 3.51
Tb 0.4896 0.9592 0.7062  2 Tb 3.32-3.51, 5 Pr 3.35-3.68, 1 Sm 3.57
Tb 0.9896 0.0408 0.2938  2 Tb 3.32-3.51, 5 Pr 3.35-3.68, 1 Sm 3.57
Tb 0.5919 0.5801 0.4199  3 Pr 3.21-3.52, 2 Tb 3.51
Tb 0.9896 0.7062 0.9592  2 Tb 3.32-3.51, 5 Pr 3.35-3.68, 1 Sm 3.57
Pr 0.8037 0.2996 0.7004  1 Tb 3.21, 1 Sm 3.41
Pr 0.0732 0.7394 0.6190  3 Tb 3.43-3.64, 4 Pr 3.55-3.82, 1 Sm 3.81
Pr 0.3025 0.9853 0.0147  2 Pr 3.33, 1 Sm 3.35, 4 Tb 3.57-3.68
Pr 0.8025 0.0147 0.9853  2 Pr 3.33, 1 Sm 3.35, 4 Tb 3.57-3.68
Pr 0.3232 0.4554 0.8926  2 Tb 3.35-3.52, 3 Pr 3.45-3.68, 1 Sm 3.73
Pr 0.8232 0.8926 0.4554  2 Tb 3.35-3.52, 3 Pr 3.45-3.68, 1 Sm 3.73
Pr 0.5732 0.6190 0.7394  3 Tb 3.43-3.64, 4 Pr 3.55-3.82, 1 Sm 3.81
Pr 0.5732 0.2606 0.3810  3 Tb 3.43-3.64, 4 Pr 3.55-3.82, 1 Sm 3.81
Pr 0.3037 0.7004 0.2996  1 Tb 3.21, 1 Sm 3.41
Pr 0.3232 0.1074 0.5446  2 Tb 3.35-3.52, 3 Pr 3.45-3.68, 1 Sm 3.73
Pr 0.0732 0.3810 0.2606  3 Tb 3.43-3.64, 4 Pr 3.55-3.82, 1 Sm 3.81
Pr 0.8232 0.5446 0.1074  2 Tb 3.35-3.52, 3 Pr 3.45-3.68, 1 Sm 3.73
Sm 0.0152 0.1556 0.8444  4 Pr 3.35-3.73, 2 Tb 3.57
Sm 0.5152 0.8444 0.1556  4 Pr 3.35-3.73, 2 Tb 3.57

N(E_F): 31.974 states/eV per cell
Formation enthalpy at 0 K: 0.121 eV per atom
ΔE to the lowest computed polymorph: 0 meV per atom
Mass density: 6.99 Mg/m³



| no. | energy (eV/cell) |
| --- | --- |
| 1 | -32.022 |
| 2 | -29.571 |
| 3 | -15.484 |
| 4 | -92.148 |